Density functional theory data (PBE) for a geometry-optimized Sr2MgAg3Pb4 structure.

Summary:
Its density is 7.9 g/cm3. Its magnetic moment is 0.00 μB per cell. The calculation puts the density of states at the Fermi level at 4.88 states/eV per cell. The calculation puts the formation energy at -23.7 kJ/mol of atoms. The uncorrected energy comes out at -30.80 eV per cell.

CIF file:
```
data_Sr2MgAg3Pb4
_chemical_formula_sum 'Sr2 Mg1 Ag3 Pb4'
_cell_length_a 4.790
_cell_length_b 4.790
_cell_length_c 12.450
_cell_angle_alpha 90.00
_cell_angle_beta 90.00
_cell_angle_gamma 90.00
_symmetry_space_group_name_H-M 'P -4 m 2'
_symmetry_Int_Tables_number 115
loop_
_symmetry_equiv_pos_as_xyz
'x,y,z'
'y,-x,-z'
'-x,-y,z'
'-y,x,-z'
'-x,y,z'
'-y,-x,-z'
'x,-y,z'
'y,x,-z'
loop_
_atom_site_label
_atom_site_fract_x
_atom_site_fract_y
_atom_site_fract_z
_atom_site_occupancy
Sr1 0.000 0.500 0.246 1
Mg1 0.500 0.500 0.000 1
Ag1 0.000 0.000 0.000 1
Ag2 0.000 0.500 0.641 1
Pb1 0.000 0.000 0.500 1
Pb2 0.000 0.500 0.864 1
Pb3 0.500 0.500 0.500 1
```